BeCr2Ir | PBE-GGA | optimized geometry

Calculated values
Total moment in Bohr magnetons per cell: 0.00
Calculated total energy in eV/atom: -8.20

POSCAR file:
```
BeCr2Ir
1.0
-0.4531 -1.4454 -4.5679
1.2178 -3.3502 -3.2331
-2.6654 -2.6702 -0.4740
Be Cr Ir
1 2 1
Cartesian
-0.4751 -1.8664 -2.0687
0.7521 -4.7872 -7.7733
-0.9377 -3.7412 -4.1652
-1.4254 -5.5993 -6.2062
```

---

RbTlZnGeSe | PBE-GGA | optimized geometry

Calculated values
Total moment in Bohr magnetons per cell: 0.00
Calculated total energy in eV/atom: -2.79
Distance to the lowest polymorph of the same formula in kJ/mol of formula units: 38.0
Energy relative to the elements, uncorrected in meV/atom: -243

POSCAR file:
```
RbTlZnGeSe
1.0
4.5666 -0.0184 0.0018
-2.2622 4.0741 -0.0019
-0.0211 -1.6555 8.6673
Tl Se Ge Rb Zn
1 1 1 1 1
Cartesian
1.1967 0.1245 7.3048
-1.0615 1.5368 2.4259
3.4940 0.3932 0.1771
1.2256 2.9047 4.3440
-1.0572 3.1862 0.5300
```

---

V2Co2Sb | PBE-GGA | optimized geometry

Calculated values
Total moment in Bohr magnetons per cell: 0.01
Calculated total energy in eV/atom: -7.29
Distance to the lowest polymorph of the same formula in kJ/mol of formula units: 0.0
Energy relative to the elements, uncorrected in meV/atom: 29

POSCAR file:
```
V2Co2Sb
1.0
6.8453 0.0000 0.0000
0.0000 6.8453 0.0000
0.0000 0.0000 2.9457
Co V Sb
4 4 2
Cartesian
0.8667 2.5559 0.0000
5.9786 4.2894 0.0000
2.5559 5.9786 0.0000
4.2894 0.8667 0.0000
2.3287 1.0939 1.4728
5.7514 2.3287 1.4728
4.5166 5.7514 1.4728
1.0939 4.5166 1.4728
3.4227 3.4227 0.0000
0.0000 0.0000 0.0000
```

---

TlCuBSe2 | PBE-GGA | optimized geometry

Calculated values
Total moment in Bohr magnetons per cell: 0.00
Calculated total energy in eV/atom: -3.88
Energy relative to the elements, uncorrected in meV/atom: 139

POSCAR file:
```
TlCuBSe2
1.0
-1.4256 3.5975 1.1186
-8.4227 -2.6845 -2.1004
0.1468 -1.8643 6.1828
Tl B Cu Se
2 2 2 4
Cartesian
-4.3930 -2.0042 3.8158
-5.3084 1.0529 1.3851
0.0734 -0.9321 3.0914
0.0000 0.0000 0.0000
-0.6228 1.1981 2.0632
-0.6560 0.5351 5.2382
-7.8505 -1.2582 5.1162
-7.1726 -2.2219 1.4354
-2.5288 1.2705 3.7655
-1.8510 0.3069 0.0847
```

---

Tl2InS | PBE-GGA | optimized geometry

Calculated values
Total moment in Bohr magnetons per cell: 0.00
Calculated total energy in eV/atom: -2.98
Distance to the lowest polymorph of the same formula in kJ/mol of formula units: 11.0
Energy relative to the elements, uncorrected in meV/atom: -83

POSCAR file:
```
Tl2InS
1.0
4.7511 0.0000 0.0000
0.0000 4.8198 0.0000
0.0000 0.0000 4.8198
In Tl S
1 2 1
Cartesian
2.3755 2.4099 2.4099
0.0000 0.0000 2.4099
0.0000 2.4099 0.0000
2.3755 0.0000 0.0000
```

---

AlCdSe2 | PBE-GGA | optimized geometry

Calculated values
Total moment in Bohr magnetons per cell: 0.00
Calculated total energy in eV/atom: -3.11
Distance to the lowest polymorph of the same formula in kJ/mol of formula units: 123.2
Energy relative to the elements, uncorrected in meV/atom: -207

POSCAR file:
```
AlCdSe2
1.0
-4.0570 3.8490 1.3267
-4.2946 -3.6380 1.1640
-1.6100 -0.0368 4.0442
Cd Al Se
1 1 2
Cartesian
-2.9523 -1.8374 2.6041
-2.8335 1.9061 2.6854
-4.1758 0.1055 1.2453
0.0000 0.0000 0.0000
```

---

Ba4SbAs | PBE-GGA | optimized geometry

Calculated values
Total moment in Bohr magnetons per cell: 0.00
Calculated total energy in eV/atom: -2.67
Energy relative to the elements, uncorrected in meV/atom: 70

POSCAR file:
```
Ba4SbAs
1.0
0.0000 4.9236 4.9236
4.9236 0.0000 4.9236
4.9236 4.9236 0.0000
Sb Ba As
1 4 1
Cartesian
7.3854 7.3854 7.3854
3.6920 6.1552 6.1552
6.1552 6.1552 3.6920
3.6920 3.6920 3.6920
6.1552 3.6920 6.1552
0.0000 0.0000 0.0000
```

---

RbAlPd2 | PBE-GGA | optimized geometry

Calculated values
Total moment in Bohr magnetons per cell: 0.00
Calculated total energy in eV/atom: -3.88

POSCAR file:
```
RbAlPd2
1.0
5.4605 0.0000 0.0000
0.0000 5.4605 0.0000
2.7303 2.7303 8.0730
Pd Al Rb
4 2 2
Cartesian
4.0954 5.4480 6.0548
6.8257 5.4731 6.0548
2.7428 1.3651 2.0183
2.7178 4.0954 2.0183
2.7303 5.4605 4.0365
2.7303 2.7303 0.0000
0.0000 0.0000 0.0000
5.4605 2.7303 4.0365
```

---

Look up the total moment of the seventh one.
0.00 Bohr magnetons per cell

---

Which of these has the highest calculated total energy?
Ba4SbAs